1.
Material: La10Se19
Method: DFT, SCAN
State: single point on PBEsol structure

Structure (POSCAR):
```
La10Se19
1.0
-2.976 -8.202 3.363
6.550 0.356 6.664
-10.816 8.105 10.197
La Se
20 38
Direct
0.706 0.597 0.130
0.294 0.403 0.130
0.903 0.206 0.630
0.097 0.794 0.630
0.794 0.903 0.370
0.206 0.097 0.370
0.597 0.294 0.870
0.403 0.706 0.870
0.804 0.899 0.854
0.196 0.101 0.854
0.601 0.304 0.354
0.399 0.696 0.354
0.696 0.601 0.646
0.304 0.399 0.646
0.899 0.196 0.146
0.101 0.804 0.146
0.500 0.000 0.134
0.500 0.000 0.634
0.000 0.500 0.366
0.000 0.500 0.866
0.634 0.818 0.999
0.366 0.182 0.999
0.682 0.134 0.499
0.318 0.866 0.499
0.866 0.682 0.501
0.134 0.318 0.501
0.818 0.366 0.001
0.182 0.634 0.001
0.721 0.078 0.000
0.279 0.922 0.000
0.422 0.221 0.500
0.578 0.779 0.500
0.779 0.422 0.500
0.221 0.578 0.500
0.078 0.279 0.000
0.922 0.721 0.000
0.500 0.500 0.000
0.000 0.000 0.500
0.701 0.598 0.823
0.299 0.402 0.823
0.902 0.201 0.323
0.098 0.799 0.323
0.799 0.902 0.677
0.201 0.098 0.677
0.598 0.299 0.177
0.402 0.701 0.177
0.101 0.802 0.814
0.899 0.198 0.814
0.698 0.601 0.314
0.302 0.399 0.314
0.399 0.698 0.686
0.601 0.302 0.686
0.802 0.899 0.186
0.198 0.101 0.186
0.000 0.500 0.184
0.000 0.500 0.684
0.500 0.000 0.316
0.500 0.000 0.816
```

## Properties
As for the symmetry: P4_2/n (86).


2.
Material: LaSe2
Method: DFT, SCAN
State: single point on PBEsol structure

Structure (POSCAR):
```
LaSe2
1.0
-3.877 -0.673 -1.471
1.916 -8.074 -1.357
-2.642 -1.932 7.848
La Se
4 8
Direct
0.774 0.127 0.276
0.726 0.627 0.276
0.226 0.873 0.724
0.274 0.373 0.724
0.314 0.118 0.001
0.814 0.382 0.999
0.186 0.618 0.001
0.244 0.875 0.364
0.744 0.625 0.636
0.686 0.882 0.999
0.256 0.375 0.364
0.756 0.125 0.636
```

## Properties
The density of states at the Fermi level comes out at 0.24 states/eV/cell. As for the symmetry: P2_1/c (14).


3.
Material: LaSe2
Method: DFT, SCAN
State: single point on PBEsol structure

Structure (POSCAR):
```
LaSe2
1.0
4.169 0.000 0.000
0.000 4.169 0.000
0.000 0.000 8.537
Se La
4 2
Direct
0.000 0.000 0.000
0.500 0.500 0.000
0.500 0.000 0.636
0.000 0.500 0.364
0.500 0.000 0.275
0.000 0.500 0.725
```

## Properties
The density of states at the Fermi level comes out at 0.79 states/eV/cell. As for the symmetry: P4/nmm (129).


4.
Material: LaSe2
Method: DFT, SCAN
State: single point on PBEsol structure

Structure (POSCAR):
```
LaSe2
1.0
-3.461 1.026 -2.307
0.667 -4.820 -3.144
-2.548 -1.526 7.122
Se La
4 2
Direct
0.500 0.794 0.001
0.205 0.705 0.409
0.500 0.206 0.999
0.795 0.295 0.591
0.850 0.849 0.699
0.150 0.151 0.301
```

## Properties
As for the symmetry: C2/m (12).


5.
Material: La3Se4
Method: DFT, SCAN
State: single point on PBEsol structure

Structure (POSCAR):
```
La3Se4
1.0
-6.302 0.947 -4.401
2.753 -7.177 -0.943
-1.858 1.095 7.438
La Se
6 8
Direct
0.375 0.750 0.125
0.125 0.250 0.375
0.750 0.625 0.875
0.250 0.875 0.625
0.625 0.375 0.250
0.875 0.125 0.750
0.846 0.846 0.346
0.000 0.500 0.154
0.654 0.000 0.000
0.500 0.654 0.500
0.346 0.346 0.846
0.000 0.500 0.654
0.500 0.154 0.500
0.154 0.000 0.000
```

## Properties
The density of states at the Fermi level comes out at 10.03 states/eV/cell. As for the symmetry: I-43d (220).


6.
Material: LaSiSe2
Method: DFT, SCAN
State: single point on PBEsol structure

Structure (POSCAR):
```
LaSiSe2
1.0
-0.976 1.675 -3.119
-0.770 -3.258 -1.509
-6.140 0.450 2.163
La Se Si
1 2 1
Direct
0.500 0.500 0.500
0.000 0.000 0.757
0.000 0.000 0.243
0.500 0.500 0.000
```

## Properties
The density of states at the Fermi level comes out at 1.33 states/eV/cell. As for the symmetry: P4/mmm (123).


7.
Material: La2SiSe
Method: DFT, SCAN
State: single point on PBEsol structure

Structure (POSCAR):
```
La2SiSe
1.0
4.294 0.000 0.000
0.000 4.294 0.000
0.000 0.000 6.068
Si Se La
1 1 2
Direct
0.500 0.500 0.500
0.000 0.000 0.000
0.000 0.000 0.500
0.500 0.500 0.000
```

## Properties
The density of states at the Fermi level comes out at 0.89 states/eV/cell. Its offset from the most stable computed form is 0.000 eV/atom. As for the symmetry: P4/mmm (123).


8.
Material: LaSiSe
Method: DFT, SCAN
State: single point on PBEsol structure

Structure (POSCAR):
```
LaSiSe
1.0
-2.114 3.268 -0.675
-3.712 -2.463 -0.300
1.277 1.642 3.951
Si Se La
1 1 1
Direct
0.500 0.667 0.333
0.500 0.333 0.667
0.000 0.000 0.000
```

## Properties
The density of states at the Fermi level comes out at 1.55 states/eV/cell. As for the symmetry: P-6m2 (187).


Short version: uncorrected formation energy = -47.51, -46.04, -45.12, -44.89, -52.16, -16.81, -35.14, -18.08 kcal/mol of atoms, in the order given.